*i*
The following is a DFT calculation (PBE) of a geometry-optimized Ho2PaGe structure.

Structure (CIF):
```
data_Ho2PaGe
_space_group_name_H-M_alt 'P 1'
_space_group_IT_number 1
_space_group_name_Hall 'P 1'
_cell_length_a 3.261
_cell_length_b 3.261
_cell_length_c 11.278
_cell_angle_alpha 81.69
_cell_angle_beta 81.69
_cell_angle_gamma 60.00
loop_
_atom_site_label
_atom_site_fract_x
_atom_site_fract_y
_atom_site_fract_z
Pa1 0.000 0.000 0.000
Ho1 0.904 0.904 0.289
Ho2 0.096 0.096 0.711
Ge1 0.500 0.500 0.500
```

The total magnetization is 0.00 μB/f.u. As for the crystal system: trigonal.

=====

*ii*
The following is a DFT calculation (PBE) of a geometry-optimized Ho2PaGe structure.

Structure (CIF):
```
data_Ho2PaGe
_space_group_name_H-M_alt 'P 1'
_space_group_IT_number 1
_space_group_name_Hall 'P 1'
_cell_length_a 4.467
_cell_length_b 4.652
_cell_length_c 4.652
_cell_angle_alpha 90.00
_cell_angle_beta 90.00
_cell_angle_gamma 90.00
loop_
_atom_site_label
_atom_site_fract_x
_atom_site_fract_y
_atom_site_fract_z
Ho1 0.000 0.000 0.500
Ho2 0.000 0.500 0.000
Ge1 0.500 0.000 0.000
Pa1 0.500 0.500 0.500
```

The total magnetization is 0.00 μB/f.u. As for the crystal system: tetragonal.

=====

*ii* takes first place; second place is 23.2 kJ/mol of atoms up.

=====

*i*
The following is a DFT calculation (PBE) of a geometry-optimized Ho3Ge4Pd2 structure.

Structure (CIF):
```
data_Ho3Ge4Pd2
_space_group_name_H-M_alt 'P 1'
_space_group_IT_number 1
_space_group_name_Hall 'P 1'
_cell_length_a 4.343
_cell_length_b 5.770
_cell_length_c 8.261
_cell_angle_alpha 104.88
_cell_angle_beta 90.00
_cell_angle_gamma 112.11
loop_
_atom_site_label
_atom_site_fract_x
_atom_site_fract_y
_atom_site_fract_z
Pd1 0.395 0.791 0.724
Ho1 0.664 0.328 0.664
Ge1 0.062 0.124 0.393
Pd2 0.605 0.209 0.276
Ge2 0.938 0.876 0.607
Ge3 0.729 0.458 0.067
Ho2 0.000 0.000 0.000
Ge4 0.271 0.542 0.933
Ho3 0.336 0.672 0.336
```

The total magnetization is 0.00 μB/f.u. As for the crystal system: monoclinic.

=====

*ii*
The following is a DFT calculation (PBE) of a geometry-optimized Ho3Ge4Pd2 structure.

Structure (CIF):
```
data_Ho3Ge4Pd2
_space_group_name_H-M_alt 'P 1'
_space_group_IT_number 1
_space_group_name_Hall 'P 1'
_cell_length_a 4.268
_cell_length_b 5.797
_cell_length_c 8.265
_cell_angle_alpha 106.77
_cell_angle_beta 90.00
_cell_angle_gamma 111.60
loop_
_atom_site_label
_atom_site_fract_x
_atom_site_fract_y
_atom_site_fract_z
Ge1 0.293 0.586 0.936
Pd1 0.688 0.376 0.361
Ge2 0.707 0.414 0.064
Ge3 0.925 0.851 0.603
Ho1 0.000 0.000 0.000
Ho2 0.371 0.743 0.306
Ho3 0.629 0.257 0.694
Ge4 0.075 0.149 0.397
Pd2 0.312 0.624 0.639
```

The total magnetization is 0.00 μB/f.u. As for the crystal system: monoclinic.

=====

*ii* takes first place; second place is 2.0 kJ/mol of atoms up.

=====

*i*
The following is a DFT calculation (PBE) of a geometry-optimized HoGePd3 structure.

Structure (CIF):
```
data_HoGePd3
_space_group_name_H-M_alt 'P 1'
_space_group_IT_number 1
_space_group_name_Hall 'P 1'
_cell_length_a 5.164
_cell_length_b 5.164
_cell_length_c 9.017
_cell_angle_alpha 106.64
_cell_angle_beta 106.64
_cell_angle_gamma 90.00
loop_
_atom_site_label
_atom_site_fract_x
_atom_site_fract_y
_atom_site_fract_z
Ho1 0.880 0.380 0.760
Pd1 0.123 0.376 0.245
Ge1 0.250 0.750 0.500
Pd2 0.131 0.877 0.755
Pd3 0.716 0.716 0.431
Pd4 0.284 0.284 0.569
Pd5 0.624 0.877 0.755
Pd6 0.123 0.869 0.245
Ho2 0.620 0.120 0.240
Ge2 0.000 0.000 0.000
```

The total magnetization is 0.00 μB/f.u. As for the crystal system: tetragonal.

=====

*ii*
The following is a DFT calculation (PBE) of a geometry-optimized HoGePd3 structure.

Structure (CIF):
```
data_HoGePd3
_space_group_name_H-M_alt 'P 1'
_space_group_IT_number 1
_space_group_name_Hall 'P 1'
_cell_length_a 4.087
_cell_length_b 8.986
_cell_length_c 9.826
_cell_angle_alpha 90.00
_cell_angle_beta 90.00
_cell_angle_gamma 90.00
loop_
_atom_site_label
_atom_site_fract_x
_atom_site_fract_y
_atom_site_fract_z
Pd1 0.250 0.366 0.790
Pd2 0.250 0.748 0.045
Pd3 0.750 0.634 0.210
Ge1 0.750 0.902 0.149
Pd4 0.250 0.866 0.710
Ho1 0.750 0.607 0.879
Pd5 0.250 0.248 0.455
Pd6 0.750 0.134 0.290
Ge2 0.250 0.598 0.649
Pd7 0.750 0.752 0.545
Pd8 0.750 0.252 0.955
Pd9 0.250 0.568 0.401
Pd10 0.750 0.932 0.901
Pd11 0.250 0.068 0.099
Ge3 0.250 0.098 0.851
Ho2 0.250 0.893 0.379
Ge4 0.750 0.402 0.351
Ho3 0.750 0.107 0.621
Ho4 0.250 0.393 0.121
Pd12 0.750 0.432 0.599
```

The total magnetization is 0.00 μB/f.u. As for the crystal system: orthorhombic.

=====

*ii* takes first place; second place is 26.8 kJ/mol of atoms up.

=====

*i*
The following is a DFT calculation (PBE) of a geometry-optimized TbHoGePd structure.

Structure (CIF):
```
data_TbHoGePd
_space_group_name_H-M_alt 'P 1'
_space_group_IT_number 1
_space_group_name_Hall 'P 1'
_cell_length_a 3.911
_cell_length_b 4.302
_cell_length_c 5.787
_cell_angle_alpha 90.00
_cell_angle_beta 109.75
_cell_angle_gamma 90.00
loop_
_atom_site_label
_atom_site_fract_x
_atom_site_fract_y
_atom_site_fract_z
Ho1 0.138 0.000 0.275
Tb1 0.860 0.500 0.719
Ge1 0.583 0.500 0.165
Pd1 0.420 0.000 0.840
```

The total magnetization is 0.00 μB/f.u. As for the crystal system: orthorhombic.

=====

*ii*
The following is a DFT calculation (PBE) of a geometry-optimized TbHoGePd structure.

Structure (CIF):
```
data_TbHoGePd
_space_group_name_H-M_alt 'P 1'
_space_group_IT_number 1
_space_group_name_Hall 'P 1'
_cell_length_a 5.012
_cell_length_b 5.012
_cell_length_c 5.012
_cell_angle_alpha 60.00
_cell_angle_beta 60.00
_cell_angle_gamma 60.00
loop_
_atom_site_label
_atom_site_fract_x
_atom_site_fract_y
_atom_site_fract_z
Tb1 0.000 0.000 0.000
Ho1 0.500 0.500 0.500
Ge1 0.250 0.250 0.250
Pd1 0.750 0.750 0.750
```

The total magnetization is 0.00 μB/f.u. As for the crystal system: cubic.

=====

*i* takes first place; second place is 8.0 kJ/mol of atoms up.

=====

*i*
The following is a DFT calculation (PBE) of a geometry-optimized PmHoGe structure.

Structure (CIF):
```
data_PmHoGe
_space_group_name_H-M_alt 'P 1'
_space_group_IT_number 1
_space_group_name_Hall 'P 1'
_cell_length_a 4.256
_cell_length_b 4.742
_cell_length_c 4.742
_cell_angle_alpha 120.00
_cell_angle_beta 90.00
_cell_angle_gamma 90.00
loop_
_atom_site_label
_atom_site_fract_x
_atom_site_fract_y
_atom_site_fract_z
Ge1 0.408 0.667 0.333
Pm1 0.034 0.000 0.000
Ho1 0.558 0.333 0.667
```

The total magnetization is 0.00 μB/f.u. As for the crystal system: trigonal.

=====

*ii*
The following is a DFT calculation (PBE) of a geometry-optimized PmHoGe structure.

Structure (CIF):
```
data_PmHoGe
_space_group_name_H-M_alt 'P 1'
_space_group_IT_number 1
_space_group_name_Hall 'P 1'
_cell_length_a 4.901
_cell_length_b 4.934
_cell_length_c 7.167
_cell_angle_alpha 90.00
_cell_angle_beta 110.00
_cell_angle_gamma 90.00
loop_
_atom_site_label
_atom_site_fract_x
_atom_site_fract_y
_atom_site_fract_z
Ge1 0.750 0.514 0.500
Ge2 0.250 0.014 0.500
Ho1 0.612 0.014 0.225
Pm1 0.109 0.514 0.217
Pm2 0.891 0.014 0.783
Ho2 0.388 0.514 0.775
```

The total magnetization is 0.00 μB/f.u. As for the crystal system: orthorhombic.

=====

*ii* takes first place; second place is 1.4 kJ/mol of atoms up.

=====

*i*
The following is a DFT calculation (PBE) of a geometry-optimized Pm2HoGe structure.

Structure (CIF):
```
data_Pm2HoGe
_space_group_name_H-M_alt 'P 1'
_space_group_IT_number 1
_space_group_name_Hall 'P 1'
_cell_length_a 4.094
_cell_length_b 4.094
_cell_length_c 6.624
_cell_angle_alpha 90.00
_cell_angle_beta 90.00
_cell_angle_gamma 90.00
loop_
_atom_site_label
_atom_site_fract_x
_atom_site_fract_y
_atom_site_fract_z
Ge1 0.500 0.500 0.000
Ho1 0.500 0.500 0.500
Pm1 0.000 0.000 0.222
Pm2 0.000 0.000 0.778
```

The total magnetization is 0.00 μB/f.u. As for the crystal system: tetragonal.

=====

*ii*
The following is a DFT calculation (PBE) of a geometry-optimized Pm2HoGe structure.

Structure (CIF):
```
data_Pm2HoGe
_space_group_name_H-M_alt 'P 1'
_space_group_IT_number 1
_space_group_name_Hall 'P 1'
_cell_length_a 3.661
_cell_length_b 3.661
_cell_length_c 11.214
_cell_angle_alpha 80.61
_cell_angle_beta 80.61
_cell_angle_gamma 60.00
loop_
_atom_site_label
_atom_site_fract_x
_atom_site_fract_y
_atom_site_fract_z
Ho1 0.000 0.000 0.000
Ge1 0.500 0.500 0.500
Pm1 0.104 0.104 0.687
Pm2 0.896 0.896 0.313
```

The total magnetization is 0.68 μB/f.u. As for the crystal system: trigonal.

=====

*iii*
The following is a DFT calculation (PBE) of a geometry-optimized Pm2HoGe structure.

Structure (CIF):
```
data_Pm2HoGe
_space_group_name_H-M_alt 'P 1'
_space_group_IT_number 1
_space_group_name_Hall 'P 1'
_cell_length_a 4.781
_cell_length_b 4.719
_cell_length_c 4.719
_cell_angle_alpha 90.00
_cell_angle_beta 90.00
_cell_angle_gamma 90.00
loop_
_atom_site_label
_atom_site_fract_x
_atom_site_fract_y
_atom_site_fract_z
Ge1 0.500 0.500 0.500
Ho1 0.500 0.000 0.000
Pm1 0.000 0.500 0.000
Pm2 0.000 0.000 0.500
```

The total magnetization is 0.00 μB/f.u. As for the crystal system: tetragonal.

=====

*iii* takes first place; second place is 1.5 kJ/mol of atoms up.